A plane-wave DFT calculation with PBE-GGA was carried out for crystalline UMn2Al2 at its relaxed geometry.

a b c (Å): 3.180 3.180 15.902
angles (deg): 90.00 90.00 90.00
Space group I4/mmm (No. 139)
Unique sites:
U (0.000, 0.000, 0.000) (multiplicity 2)
Mn (0.000, 0.000, 0.134) (multiplicity 4)
Al (0.000, 0.000, 0.307) (multiplicity 4)

Properties
Formation enthalpy at 0 K   0.992 eV/f.u.
Electronic total energy   -7.224 eV per atom


A plane-wave DFT calculation with PBE-GGA was carried out for crystalline Pr6DyS8 at its relaxed geometry.

a b c (Å): 11.560 11.560 11.560
angles (deg): 90.00 90.00 90.00
Space group Fm-3m (No. 225)
Unique sites:
Pr (0.000, 0.250, 0.250) (multiplicity 24)
Dy (0.000, 0.000, 0.000) (multiplicity 4)
S (0.000, 0.000, 0.241) (multiplicity 24)
S (0.250, 0.250, 0.250) (multiplicity 8)

Properties
Formation energy from raw total energies   -2.04 eV per atom
Electronic total energy   -6.464 eV per atom